Entry 1:
ScTl2Co after structural relaxation. Source: Alexandria via LeMat-Bulk, functional GGA-PBE.

a = 3.2401 Å, b = 3.2403 Å, c = 8.2117 Å
α = 90.00°, β = 90.00°, γ = 90.00°
Fractional positions:
Tl 0.5000 0.5000 0.3052
Tl 0.0000 0.0000 0.9808
Co 0.0000 0.0000 0.5261
Sc 0.5000 0.5000 0.6880

## Properties
The value obtained for the density of states at the Fermi level is 0.78 states/eV/atom. The calculated volume comes out at 21.55 Å³/atom. Its electronic total energy is -17.94 eV for the cell shown. Its energy of formation is 22 kJ/mol of formula units.

Entry 2:
Sc12Tl6Co after structural relaxation. Source: Alexandria via LeMat-Bulk, functional GGA-PBE.

a = 7.7761 Å, b = 7.7761 Å, c = 7.7761 Å
α = 94.93°, β = 94.93°, γ = 94.93°
Fractional positions:
Sc 0.5359 0.2112 0.4245
Tl 0.3507 0.1337 0.7330
Sc 0.3091 0.9882 0.0887
Sc 0.4245 0.5359 0.2112
Sc 0.0118 0.9113 0.6909
Sc 0.0887 0.3091 0.9882
Sc 0.7888 0.5755 0.4641
Tl 0.6493 0.8663 0.2670
Sc 0.2112 0.4245 0.5359
Tl 0.8663 0.2670 0.6493
Sc 0.5755 0.4641 0.7888
Tl 0.7330 0.3507 0.1337
Sc 0.4641 0.7888 0.5755
Tl 0.2670 0.6493 0.8663
Co 0.0000 0.0000 0.0000
Sc 0.6909 0.0118 0.9113
Sc 0.9882 0.0887 0.3091
Tl 0.1337 0.7330 0.3507
Sc 0.9113 0.6909 0.0118

## Properties
The value obtained for the density of states at the Fermi level is 0.98 states/eV/atom. The calculated volume comes out at 24.46 Å³/atom. Its electronic total energy is -99.20 eV for the cell shown. Its energy of formation is -185 kJ/mol of formula units.

Entry 3:
ScTlCo after structural relaxation. Source: Alexandria via LeMat-Bulk, functional GGA-PBE.

a = 4.5499 Å, b = 4.5499 Å, c = 4.5499 Å
α = 60.00°, β = 60.00°, γ = 60.00°
Fractional positions:
Tl 0.0000 0.0000 0.0000
Co 0.5000 0.5000 0.5000
Sc 0.2500 0.2500 0.2500

## Properties
The value obtained for the density of states at the Fermi level is 0.72 states/eV/atom. The calculated volume comes out at 22.20 Å³/atom. Its electronic total energy is -14.21 eV for the cell shown. Its energy of formation is 154 kJ/mol of formula units.

Entry 4:
ScTlCo after structural relaxation. Source: Alexandria via LeMat-Bulk, functional GGA-PBE.

a = 4.4085 Å, b = 4.4085 Å, c = 4.4085 Å
α = 60.00°, β = 60.00°, γ = 60.00°
Fractional positions:
Sc 0.0000 0.0000 0.0000
Tl 0.5000 0.5000 0.5000
Co 0.2500 0.2500 0.2500

## Properties
The value obtained for the density of states at the Fermi level is 0.77 states/eV/atom. The calculated volume comes out at 20.19 Å³/atom. Its electronic total energy is -15.73 eV for the cell shown. Its energy of formation is 7 kJ/mol of formula units.

Entry 5:
Sc2TlCo after structural relaxation. Source: Alexandria via LeMat-Bulk, functional GGA-PBE.

a = 7.2228 Å, b = 7.2228 Å, c = 7.2228 Å
α = 41.74°, β = 150.79°, γ = 150.85°
Fractional positions:
Sc 0.0000 0.1716 0.1716
Tl 0.0000 0.5000 0.5000
Co 0.0000 0.0000 0.0000
Sc 0.0000 0.8284 0.8284

## Properties
The value obtained for the density of states at the Fermi level is 1.13 states/eV/atom. The calculated volume comes out at 22.34 Å³/atom. Its electronic total energy is -21.26 eV for the cell shown. Its energy of formation is 85 kJ/mol of formula units.

Entry 6:
Sc2TlCo after structural relaxation. Source: Alexandria via LeMat-Bulk, functional GGA-PBE.

a = 4.6843 Å, b = 4.6843 Å, c = 4.6843 Å
α = 60.00°, β = 60.00°, γ = 60.00°
Fractional positions:
Sc 0.0000 0.0000 0.0000
Tl 0.7500 0.7500 0.7500
Sc 0.2500 0.2500 0.2500
Co 0.5000 0.5000 0.5000

## Properties
The calculated volume comes out at 18.17 Å³/atom. Its electronic total energy is -22.40 eV for the cell shown. Its energy of formation is -25 kJ/mol of formula units.

Which formula does entry 3 have?
ScTlCo